A geometry-optimized NaAlCr2O structure, computed with PBE+U.

Cell lengths 4.2347, 4.2347, 4.5682 Å; angles 90.00, 90.00, 90.00 degrees
Element x y z (fractional)
1 Na 0.0000 0.0000 0.0000
2 Al 0.5000 0.5000 0.0000
3 Cr 0.0000 0.5000 0.5000
4 Cr 0.5000 0.0000 0.5000
5 O 0.0000 0.0000 0.5000

For the total energy, the calculation gives -5.322 eV/atom. Its volume is 16.4 A^3/atom. Its crystal system is tetragonal. The space group is P4/mmm (123).